# 1
Density functional theory data (SCAN) for a PBEsol-optimized structure of As2Os.

Unit cell a=5.0100 b=5.0100 c=5.0100 alpha=108.88 beta=108.88 gamma=110.65
With the nearest neighbours (Å) after each atom.
Positions (direct):
As: 0.1565 0.6565 0.8130  1 As 2.58, 4 Os 2.62
As: 0.3435 0.1565 0.5000  1 As 2.58, 4 Os 2.62
As: 0.6565 0.8435 0.5000  1 As 2.58, 4 Os 2.62
As: 0.8435 0.3435 0.1870  1 As 2.58, 4 Os 2.62
Os: 0.2500 0.2500 0.0000  8 As 2.62, 2 Os 2.85
Os: 0.7500 0.7500 0.0000  8 As 2.62, 2 Os 2.85

Properties
Formation enthalpy at 0 K in eV per atom: 0.2013
M_tot in Bohr magnetons per cell: 0.0

---

# 2
Density functional theory data (SCAN) for a PBEsol-optimized structure of AsPOs2.

Unit cell a=5.2095 b=5.2095 c=5.2095 alpha=148.41 beta=127.87 gamma=62.24
With the nearest neighbours (Å) after each atom.
Positions (direct):
As: 0.0000 0.0000 0.0000  4 P 2.69, 2 As 2.84, 8 Os 2.94-2.97
P: 0.5000 0.5000 0.0000  4 Os 2.33
Os: 0.2925 0.7925 0.5000  2 P 2.33
Os: 0.7075 0.2075 0.5000  2 P 2.33

Properties
Formation enthalpy at 0 K in eV per atom: 0.5438
Energy above the most stable polymorph in this dataset in meV per atom: 281
M_tot in Bohr magnetons per cell: 0.0

---

# 3
Density functional theory data (SCAN) for a PBEsol-optimized structure of As2POs.

Unit cell a=2.8089 b=2.8089 c=9.3483 alpha=90.00 beta=90.00 gamma=118.86
With the nearest neighbours (Å) after each atom.
Positions (direct):
As: 0.0000 0.0000 0.2275  2 Os 2.56, 6 As 2.81-2.86
As: 0.0000 0.0000 0.7725  2 Os 2.56, 6 As 2.81-2.86
P: 0.5000 0.5000 0.5000  6 P 2.81-2.86, 4 As 2.92
Os: 0.5000 0.5000 0.0000  4 As 2.56, 6 Os 2.81-2.86

Properties
Formation enthalpy at 0 K in eV per atom: 0.6476
M_tot in Bohr magnetons per cell: 0.0